Record 1
The following is a DFT calculation (PBE-GGA) of Fe9Ni11Pd4 after structural relaxation.

Geometry as extended XYZ:
```
24
Lattice="-0.2593 2.5199 -0.4254 -8.1259 0.3350 6.9372 7.1046 2.0348 7.7233" Properties=species:S:1:pos:R:3 pbc="T T T"
Fe -4.3338 1.7354 5.1661
Fe 3.0533 3.1543 9.0690
Fe 3.2977 2.5871 5.5600
Fe -4.5782 2.3026 8.6751
Fe 0.2233 3.4892 12.7777
Fe -1.5038 1.4005 1.4574
Fe -2.2834 3.2094 12.6483
Fe 1.0029 1.6802 1.5867
Fe -0.6403 2.4448 7.1175
Ni 1.8203 2.1012 11.3371
Ni -2.8416 0.2686 3.3233
Ni -3.3811 1.5206 11.0687
Ni 2.3599 0.8492 3.5918
Ni -2.9998 0.9071 7.2018
Ni 1.9786 1.4627 7.4587
Ni -5.5738 0.6198 7.0689
Ni 4.5526 1.7500 7.5916
Ni 0.0000 0.0000 0.0000
Ni -0.7820 1.8147 11.2262
Ni -0.2392 0.5551 3.4342
Pd 0.5642 2.9261 9.2342
Pd -1.8447 1.9636 5.0009
Pd -2.1299 2.6254 9.0952
Pd 0.8494 2.2643 5.1399
```

Calculated total energy (Ry per atom): -0.4911
Space group: Cmmm (65)
Crystal system: orthorhombic

Record 2
The following is a DFT calculation (PBE-GGA) of Zr2BPb after structural relaxation.

Geometry as extended XYZ:
```
4
Lattice="-3.8638 -2.7618 -0.7037 -4.3978 1.9027 0.3007 -2.6540 0.5495 -3.9630" Properties=species:S:1:pos:R:3 pbc="T T T"
Pb -5.4578 -0.1548 -2.1831
B 0.0000 0.0000 0.0000
Zr -2.7289 -0.0774 -1.0915
Zr -8.1867 -0.2322 -3.2746
```

Polymorph energy (0 for the lowest one) (eV per atom): 0.9978
Space group: Fm-3m (225)
Crystal system: cubic

Record 3
The following is a DFT calculation (PBE-GGA) of Pr8Ge3CI4 after structural relaxation.

Geometry as extended XYZ:
```
16
Lattice="8.5560 0.0000 0.0000 0.0000 9.2493 0.4950 -4.2780 -4.2799 6.0478" Properties=species:S:1:pos:R:3 pbc="T T T"
Pr -2.3245 2.1970 6.2244
Pr 0.0000 4.5224 2.9388
Pr 0.0000 0.4826 3.3673
Pr 2.3245 2.1970 6.2244
Pr 1.9535 2.7725 0.3183
Pr 4.2780 4.4868 3.1754
Pr 4.2780 0.4470 3.6039
Pr 6.6025 2.7725 0.3183
Ge 4.2780 4.6246 0.2475
Ge 2.1390 2.4847 3.2714
Ge -2.1390 2.4847 3.2714
C 0.0000 4.6246 0.2475
I 4.2780 0.0000 0.0000
I 2.1390 -2.1399 3.0239
I 0.0000 0.0000 0.0000
I -2.1390 -2.1399 3.0239
```

E_form (uncorrected) (eV/f.u.): -14.77
Space group: R-3m (166)
Crystal system: trigonal

Record 4
The following is a DFT calculation (PBE-GGA) of ZrOs2Cl after structural relaxation.

Geometry as extended XYZ:
```
4
Lattice="-6.8240 3.3856 4.2886 -6.2365 0.9722 6.0483 -4.6941 3.5647 6.4560" Properties=species:S:1:pos:R:3 pbc="T T T"
Cl -13.3160 5.9419 12.5947
Os -0.0001 0.0000 0.0001
Os -8.8773 3.9612 8.3964
Zr -4.4387 1.9806 4.1982
```

E_form (uncorrected) (eV/f.u.): 2.19
Polymorph energy (0 for the lowest one) (eV per atom): 0.5737
Space group: R-3m (166)
Crystal system: trigonal

Record 5
The following is a DFT calculation (PBE-GGA) of BaTlCu2 after structural relaxation.

Geometry as extended XYZ:
```
4
Lattice="5.0889 -0.0022 0.0121 0.0021 5.0889 0.0121 -0.0120 -0.0120 4.0034" Properties=species:S:1:pos:R:3 pbc="T T T"
Ba -0.0050 2.5384 2.0078
Cu 0.0000 0.0000 0.0000
Cu 2.5455 2.5433 0.0121
Tl 2.5384 -0.0071 2.0078
```

Calculated total energy (Ry per atom): -0.2131
Space group: P4/mmm (123)
Crystal system: tetragonal

Record 6
The following is a DFT calculation (PBE-GGA) of Hf5Cu3Pt12 after structural relaxation.

Geometry as extended XYZ:
```
80
Lattice="12.9346 0.0000 0.0000 -4.3115 12.1949 0.0000 -4.3115 -6.0975 10.5611" Properties=species:S:1:pos:R:3 pbc="T T T"
Cu 7.5452 3.8109 1.3201
Cu 7.5452 8.3840 1.3201
Cu -1.0779 5.3353 6.6007
Cu 1.0779 -0.7622 3.9604
Cu 9.7010 0.0000 2.6403
Cu 1.0779 6.0975 2.6403
Cu 3.2337 0.0000 7.9208
Cu -5.3894 6.0975 7.9208
Cu 3.2337 6.8596 6.6007
Cu 5.3894 0.7622 3.9604
Cu -3.2337 -2.2865 9.2410
Cu -3.2337 2.2865 9.2410
Hf -1.0779 3.0487 2.6403
Hf -2.1558 6.0975 0.0000
Hf 0.0000 0.0000 0.0000
Hf 3.2337 2.2865 1.3201
Hf 4.3115 -3.0487 5.2805
Hf 4.3115 6.0975 0.0000
Hf -3.2337 6.8596 3.9604
Hf 5.3894 -3.8109 9.2410
Hf 5.3894 5.3353 3.9604
Hf 1.0779 -3.0487 7.9208
Hf 3.2337 9.1462 2.6403
Hf 2.1558 3.0487 5.2805
Hf 6.4673 0.0000 0.0000
Hf -2.1558 -3.0487 5.2805
Hf -1.0779 0.7622 6.6007
Hf -1.0779 9.9084 1.3201
Hf -4.3115 3.0487 5.2805
Hf 7.5452 -0.7622 6.6007
Hf 1.0779 3.8109 9.2410
Hf 5.3894 3.0487 7.9208
Pt 8.6893 1.1736 0.7347
Pt -0.0662 4.2718 4.6315
Pt 9.3171 2.9061 2.7601
Pt 5.7733 2.1114 1.3838
Pt 1.7900 4.9281 7.0662
Pt 8.8850 5.8159 1.7857
Pt -0.6940 6.8921 4.1439
Pt -3.6175 10.0835 1.3838
Pt 0.3658 7.2668 7.0662
Pt 6.2054 6.3790 1.7857
Pt 6.4011 2.9992 3.8968
Pt 6.4011 11.0213 0.7347
Pt -3.9457 5.5349 6.0153
Pt 2.4177 4.6918 1.1367
Pt -4.2453 9.1957 3.8968
Pt 2.0895 -1.8256 5.9296
Pt -0.3658 0.6068 2.5204
Pt 2.4177 7.7847 0.6490
Pt 5.7733 9.2888 2.7601
Pt -0.2619 4.4102 0.6490
Pt -2.5216 6.7042 8.0407
Pt 2.8498 5.3028 4.1439
Pt 6.1015 6.6600 6.0153
Pt 4.5735 -1.4057 9.4244
Pt 1.4618 0.7946 6.4172
Pt -1.7900 -0.5626 4.5458
Pt -0.2619 7.5031 1.1367
Pt -1.4618 -3.1914 7.8010
Pt 6.8332 -0.6068 2.5204
Pt 4.5735 1.6872 9.9121
Pt 1.8938 -1.6872 9.9121
Pt 2.2220 7.9231 4.6315
Pt 4.6774 5.4907 8.0407
Pt 8.5569 -3.0982 6.6643
Pt 8.2573 0.5626 4.5458
Pt -2.0895 -4.9238 9.8264
Pt 1.8938 1.4057 9.4244
Pt 3.9457 -1.1694 3.4949
Pt -1.8938 -0.2816 8.7754
Pt -2.0895 3.0982 6.6643
Pt 7.9291 -3.9860 9.1773
Pt 5.0056 -0.7947 6.4172
Pt -1.4618 3.9860 9.1773
Pt -4.5735 0.2816 8.7754
Pt 2.5216 1.1694 3.4949
Pt -5.0056 3.1914 7.8010
Pt 4.3778 1.8256 5.9296
Pt -4.3778 4.9238 9.8264
```

Calculated total energy (Ry per atom): -0.5083
Space group: Ia-3d (230)
Crystal system: cubic